[1]
Density functional theory data (PBE) for a geometry-optimized ErThRuAu structure.

Properties
Its energy is -6.65 eV/atom. The magnetic moment comes out at 0.000 μB per atom. As for the formation energy: -0.52 eV per atom. Its density of states at the Fermi level is 0.861 states/eV/atom.

abc: 7.1342 7.1342 7.1342
angles: 90.00 90.00 90.00
Space group F-43m (No. 216)
One atom of each set of equivalent atoms:
Er 0.0000 0.0000 0.0000 (multiplicity 4)
Th 0.0000 0.0000 0.5000 (multiplicity 4)
Ru 0.2500 0.2500 0.7500 (multiplicity 4)
Au 0.2500 0.2500 0.2500 (multiplicity 4)


[2]
Density functional theory data (PBE) for a geometry-optimized Pm2Pr7Ho3 structure.

Properties
Its energy is -4.63 eV/atom. The magnetic moment comes out at 0.000 μB per atom. As for the formation energy: 0.09 eV per atom. As for the polymorph energy (0 for the lowest one): 0.00 eV/f.u. Its density of states at the Fermi level is 1.478 states/eV/atom.

abc: 5.9611 3.6591 19.2552
angles: 90.00 93.74 90.00
Space group P2/m (No. 10)
One atom of each set of equivalent atoms:
Pm 0.2040 0.0000 0.2983 (multiplicity 2)
Pr 0.1716 0.5000 0.1444 (multiplicity 2)
Pr 0.2418 0.0000 0.4649 (multiplicity 2)
Pr 0.3250 0.0000 0.8176 (multiplicity 2)
Pr 0.5000 0.5000 0.0000 (multiplicity 1)
Ho 0.0000 0.0000 0.0000 (multiplicity 1)
Ho 0.2838 0.5000 0.6317 (multiplicity 2)


[3]
Density functional theory data (PBE) for a geometry-optimized Sm2YSn2 structure.

Properties
Its energy is -5.43 eV/atom. The magnetic moment comes out at 0.000 μB per atom. As for the formation energy: -0.64 eV per atom. As for the polymorph energy (0 for the lowest one): 0.39 eV/f.u. Its density of states at the Fermi level is 0.733 states/eV/atom.

abc: 5.0425 18.3771 6.5386
angles: 90.00 90.00 90.00
Space group Cmc2_1 (No. 36)
One atom of each set of equivalent atoms:
Sm 0.0000 0.0002 0.0000 (multiplicity 4)
Sm 0.0000 0.1916 0.2510 (multiplicity 4)
Y 0.0000 0.3957 0.2496 (multiplicity 4)
Sn 0.0000 0.1923 0.7511 (multiplicity 4)
Sn 0.0000 0.4249 0.7499 (multiplicity 4)


[4]
Density functional theory data (PBE) for a geometry-optimized FeSb3 structure.

Properties
Its energy is -4.96 eV/atom. The magnetic moment comes out at 0.482 μB per atom. As for the polymorph energy (0 for the lowest one): 1.11 eV/f.u. Its density of states at the Fermi level is 0.954 states/eV/atom. The formation energy (no corrections) comes out at 1.00 eV per formula unit.

abc: 3.2647 4.6451 12.4971
angles: 90.00 90.00 90.00
Space group Immm (No. 71)
One atom of each set of equivalent atoms:
Fe 0.0000 0.0000 0.0000 (multiplicity 2)
Sb 0.0000 0.0000 0.5000 (multiplicity 2)
Sb 0.0000 0.5000 0.3266 (multiplicity 4)


[5]
Density functional theory data (PBE) for a geometry-optimized SiNi2As structure.

Properties
Its energy is -5.48 eV/atom. The magnetic moment comes out at 0.000 μB per atom. Its density of states at the Fermi level is 0.396 states/eV/atom. The formation energy (no corrections) comes out at -0.29 eV per formula unit.

abc: 4.1804 4.1804 2.9238
angles: 90.00 90.00 90.00
Space group P4/mmm (No. 123)
One atom of each set of equivalent atoms:
Si 0.0000 0.0000 0.0000 (multiplicity 1)
Ni 0.0000 0.5000 0.5000 (multiplicity 2)
As 0.5000 0.5000 0.0000 (multiplicity 1)


[6]
Density functional theory data (PBE) for a geometry-optimized Pm3Nd2Cd structure.

Properties
Its energy is -4.12 eV/atom. The magnetic moment comes out at 0.000 μB per atom. As for the formation energy: 0.00 eV per atom. As for the polymorph energy (0 for the lowest one): 0.32 eV/f.u. Its density of states at the Fermi level is 1.988 states/eV/atom.

abc: 4.1654 4.1654 11.1896
angles: 90.00 90.00 90.00
Space group P4/mmm (No. 123)
One atom of each set of equivalent atoms:
Pm 0.0000 0.0000 0.0000 (multiplicity 1)
Pm 0.0000 0.0000 0.3480 (multiplicity 2)
Nd 0.5000 0.5000 0.1637 (multiplicity 2)
Cd 0.5000 0.5000 0.5000 (multiplicity 1)


[7]
Density functional theory data (PBE) for a geometry-optimized Li2InReBr structure.

Properties
Its energy is -3.28 eV/atom. The magnetic moment comes out at 0.620 μB per atom. Its density of states at the Fermi level is 0.252 states/eV/atom. The formation energy (no corrections) comes out at 4.27 eV per formula unit.

abc: 5.3220 5.3220 5.1926
angles: 90.00 90.00 90.00
Space group P4/mmm (No. 123)
One atom of each set of equivalent atoms:
Li 0.0000 0.5000 0.0000 (multiplicity 2)
In 0.0000 0.0000 0.0000 (multiplicity 1)
Re 0.0000 0.0000 0.5000 (multiplicity 1)
Br 0.5000 0.5000 0.5000 (multiplicity 1)


[8]
Density functional theory data (PBE) for a geometry-optimized AgIO2 structure.

Properties
Its energy is -3.40 eV/atom. The magnetic moment comes out at 0.000 μB per atom. Its density of states at the Fermi level is 0.000 states/eV/atom. The formation energy (no corrections) comes out at 0.73 eV per formula unit.

abc: 4.5379 4.5379 13.3020
angles: 90.00 90.00 90.00
Space group I-42d (No. 122)
One atom of each set of equivalent atoms:
Ag 0.0000 0.0000 0.0000 (multiplicity 4)
I 0.0000 0.0000 0.5000 (multiplicity 4)
O 0.2080 0.2500 0.6250 (multiplicity 8)


[9]
Density functional theory data (PBE) for a geometry-optimized Li2Hf2Mo structure.

Properties
Its energy is -6.41 eV/atom. The magnetic moment comes out at 0.000 μB per atom. As for the formation energy: 0.50 eV per atom. As for the polymorph energy (0 for the lowest one): 1.27 eV/f.u. Its density of states at the Fermi level is 1.092 states/eV/atom.

abc: 7.4842 7.4842 3.0260
angles: 90.00 90.00 90.00
Space group P4/mbm (No. 127)
One atom of each set of equivalent atoms:
Li 0.1007 0.3993 0.0000 (multiplicity 4)
Hf 0.2020 0.7020 0.5000 (multiplicity 4)
Mo 0.0000 0.0000 0.0000 (multiplicity 2)


[10]
Density functional theory data (PBE) for a geometry-optimized TaCr2Cl structure.

Properties
Its energy is -7.92 eV/atom. The magnetic moment comes out at 1.529 μB per atom. As for the polymorph energy (0 for the lowest one): 0.89 eV/f.u. Its density of states at the Fermi level is 0.807 states/eV/atom. The formation energy (no corrections) comes out at 1.25 eV per formula unit.

abc: 3.4087 4.9486 8.0788
angles: 90.00 90.00 90.00
Space group Cmmm (No. 65)
One atom of each set of equivalent atoms:
Ta 0.0000 0.0000 0.0000 (multiplicity 2)
Cr 0.0000 0.5000 0.2480 (multiplicity 4)
Cl 0.0000 0.0000 0.5000 (multiplicity 2)


[11]
Density functional theory data (PBE) for a geometry-optimized BeP2Se6 structure.

Properties
Its energy is -4.05 eV/atom. The magnetic moment comes out at 0.000 μB per atom. The formation energy (no corrections) comes out at -1.03 eV per formula unit.

abc: 12.9921 12.9164 6.1037
angles: 90.00 117.75 90.00
Space group C2/c (No. 15)
One atom of each set of equivalent atoms:
Be 0.0000 0.2019 0.2500 (multiplicity 4)
P 0.2159 0.4109 0.3245 (multiplicity 8)
Se 0.0976 0.0878 0.5709 (multiplicity 8)
Se 0.1148 0.2750 0.1108 (multiplicity 8)
Se 0.1445 0.4363 0.6031 (multiplicity 8)


[12]
Density functional theory data (PBE) for a geometry-optimized Dy2GaAu structure.

Properties
Its energy is -4.59 eV/atom. The magnetic moment comes out at 0.000 μB per atom. As for the formation energy: -0.71 eV per atom. Its density of states at the Fermi level is 0.725 states/eV/atom.

abc: 5.0533 3.5889 10.1853
angles: 90.00 90.00 90.00
Space group Pmma (No. 51)
One atom of each set of equivalent atoms:
Dy 0.2500 0.0000 0.1172 (multiplicity 2)
Dy 0.2500 0.0000 0.6203 (multiplicity 2)
Ga 0.2500 0.5000 0.8660 (multiplicity 2)
Au 0.2500 0.5000 0.3559 (multiplicity 2)